A plane-wave DFT calculation with PBE-GGA was carried out for a relaxed Te2Mo3Se7Br10 crystal.

Cell lengths 10.335, 11.176, 12.676 Å; angles 85.30, 85.53, 76.19 degrees
Element x y z (fractional)
Te: 0.134 0.049 0.369
Te: 0.153 0.170 0.789
Te: 0.847 0.830 0.211
Te: 0.866 0.951 0.631
Mo: 0.203 0.407 0.777
Mo: 0.395 0.493 0.648
Mo: 0.395 0.494 0.867
Mo: 0.605 0.506 0.133
Mo: 0.605 0.507 0.352
Mo: 0.797 0.593 0.223
Se: 0.143 0.581 0.634
Se: 0.144 0.585 0.901
Se: 0.226 0.384 0.570
Se: 0.226 0.388 0.982
Se: 0.382 0.689 0.742
Se: 0.410 0.453 0.259
Se: 0.444 0.301 0.769
Se: 0.556 0.699 0.231
Se: 0.590 0.547 0.741
Se: 0.618 0.311 0.258
Se: 0.774 0.612 0.018
Se: 0.774 0.616 0.430
Se: 0.856 0.415 0.099
Se: 0.857 0.419 0.366
Br: 0.023 0.834 0.449
Br: 0.054 0.606 0.212
Br: 0.095 0.831 0.758
Br: 0.096 0.125 0.984
Br: 0.226 0.241 0.299
Br: 0.238 0.918 0.210
Br: 0.333 0.979 0.488
Br: 0.381 0.011 0.793
Br: 0.415 0.644 0.472
Br: 0.416 0.647 0.016
Br: 0.584 0.353 0.984
Br: 0.585 0.356 0.528
Br: 0.619 0.989 0.207
Br: 0.667 0.021 0.512
Br: 0.762 0.082 0.790
Br: 0.774 0.759 0.701
Br: 0.904 0.875 0.016
Br: 0.905 0.169 0.242
Br: 0.946 0.394 0.788
Br: 0.977 0.166 0.551

Crystal system = triclinic
Size of the total moment = 0.01 μB per formula unit
Space-group type = P-1
Raw total energy = -4.102 eV/atom



A plane-wave DFT calculation with PBE-GGA was carried out for a relaxed Te2MoSe2Br crystal.

Cell lengths 6.598, 7.911, 8.380 Å; angles 114.87, 104.70, 98.45 degrees
Element x y z (fractional)
Te: 0.113 0.093 0.302
Te: 0.372 0.670 0.783
Te: 0.628 0.330 0.217
Te: 0.887 0.907 0.698
Mo: 0.280 0.000 0.001
Mo: 0.720 0.000 0.999
Se: 0.037 0.237 0.984
Se: 0.475 0.153 0.842
Se: 0.525 0.847 0.158
Se: 0.963 0.763 0.016
Br: 0.241 0.620 0.413
Br: 0.759 0.380 0.587

Crystal system = triclinic
Energy above the most stable polymorph in this dataset = 0.0000 eV per atom
Size of the total moment = 0.00 μB per formula unit
Space-group type = P-1



A plane-wave DFT calculation with PBE-GGA was carried out for a relaxed Te2MoSe2Br crystal.

Cell lengths 6.676, 8.186, 8.286 Å; angles 117.87, 104.32, 99.19 degrees
Element x y z (fractional)
Te: 0.049 0.258 0.493
Te: 0.119 0.118 0.815
Te: 0.881 0.882 0.185
Te: 0.951 0.742 0.507
Mo: 0.286 0.000 0.500
Mo: 0.714 0.000 0.500
Se: 0.377 0.694 0.293
Se: 0.482 0.152 0.348
Se: 0.518 0.848 0.652
Se: 0.623 0.306 0.707
Br: 0.247 0.635 0.909
Br: 0.753 0.365 0.091

Crystal system = triclinic
Energy above the most stable polymorph in this dataset = 0.0382 eV per atom
Size of the total moment = 0.00 μB per formula unit
Space-group type = P-1



A plane-wave DFT calculation with PBE-GGA was carried out for a relaxed Te3MoSeBr crystal.

Cell lengths 6.732, 7.720, 8.685 Å; angles 114.30, 103.37, 100.49 degrees
Element x y z (fractional)
Te: 0.028 0.360 0.192
Te: 0.127 0.840 0.186
Te: 0.385 0.362 0.709
Te: 0.615 0.638 0.291
Te: 0.873 0.160 0.814
Te: 0.972 0.640 0.808
Mo: 0.223 0.500 0.000
Mo: 0.777 0.500 0.000
Se: 0.467 0.274 0.046
Se: 0.533 0.726 0.954
Br: 0.251 0.901 0.564
Br: 0.749 0.099 0.436

Crystal system = triclinic
Energy above the most stable polymorph in this dataset = 0.0103 eV per atom
Size of the total moment = 0.00 μB per formula unit
Space-group type = P-1



A plane-wave DFT calculation with PBE-GGA was carried out for a relaxed Te2MoSe2Br crystal.

Cell lengths 6.659, 7.519, 8.403 Å; angles 100.71, 112.82, 100.87 degrees
Element x y z (fractional)
Te: 0.163 0.301 0.204
Te: 0.336 0.911 0.706
Te: 0.664 0.089 0.294
Te: 0.837 0.699 0.796
Mo: 0.220 0.000 0.001
Mo: 0.780 0.000 0.999
Se: 0.030 0.800 0.150
Se: 0.412 0.729 0.939
Se: 0.588 0.271 0.061
Se: 0.970 0.200 0.850
Br: 0.332 0.263 0.569
Br: 0.668 0.737 0.431

Crystal system = triclinic
Energy above the most stable polymorph in this dataset = 0.0098 eV per atom
Size of the total moment = 0.00 μB per formula unit
Space-group type = P-1



A plane-wave DFT calculation with PBE-GGA was carried out for a relaxed TeMoBr crystal.

Cell lengths 7.769, 5.741, 7.560 Å; angles 90.00, 102.05, 90.00 degrees
Element x y z (fractional)
Te: 0.159 0.199 0.374
Te: 0.159 0.301 0.874
Te: 0.841 0.699 0.126
Te: 0.841 0.801 0.626
Mo: 0.088 0.656 0.443
Mo: 0.088 0.844 0.943
Mo: 0.912 0.156 0.057
Mo: 0.912 0.344 0.557
Br: 0.334 0.726 0.226
Br: 0.334 0.774 0.726
Br: 0.666 0.226 0.274
Br: 0.666 0.274 0.774

Crystal system = monoclinic
Size of the total moment = 1.00 μB per formula unit
Space-group type = P2_1/c
Raw total energy = -5.350 eV/atom



A plane-wave DFT calculation with PBE-GGA was carried out for a relaxed Te2Mo2Br crystal.

Cell lengths 4.810, 14.135, 3.360 Å; angles 90.00, 90.00, 90.00 degrees
Element x y z (fractional)
Te: 0.000 0.162 0.000
Te: 0.000 0.838 0.000
Te: 0.500 0.338 0.000
Te: 0.500 0.662 0.000
Mo: 0.001 0.312 0.500
Mo: 0.499 0.812 0.500
Mo: 0.501 0.188 0.500
Mo: 0.999 0.688 0.500
Br: 0.000 0.500 0.000
Br: 0.500 0.000 0.000

Crystal system = orthorhombic
Size of the total moment = 1.03 μB per formula unit
Space-group type = Pbam
Raw total energy = -5.686 eV/atom



A plane-wave DFT calculation with PBE-GGA was carried out for a relaxed Nd4Br5N crystal.

Cell lengths 9.278, 9.278, 8.356 Å; angles 103.16, 103.16, 24.20 degrees
Element x y z (fractional)
Nd: 0.001 0.001 0.298
Nd: 0.361 0.361 0.427
Nd: 0.639 0.639 0.573
Nd: 0.999 0.999 0.702
Br: 0.164 0.164 0.846
Br: 0.171 0.171 0.324
Br: 0.500 0.500 0.000
Br: 0.829 0.829 0.676
Br: 0.836 0.836 0.154
N: 0.500 0.500 0.500

Crystal system = monoclinic
Size of the total moment = 0.00 μB per formula unit
Space-group type = C2/m
Raw total energy = -5.202 eV/atom